Record 1
# GGA-PBE Ce6In2FeIr, relaxed
# - calculated total energy (eV/cell) = -60.95
# - N(E_F) (states/eV/cell) = 24.08
# - crystal system = triclinic
# - volume (Å³/atom) = 28.895
# - mass density (g/cm3) = 7.58
data_Ce6In2FeIr
_chemical_formula_sum 'Ce6 In2 Fe1 Ir1'
_symmetry_space_group_name_H-M 'P 1'
_symmetry_Int_Tables_number 1
_symmetry_space_group_name_Hall 'P 1'
_cell_length_a 7.2624
_cell_length_b 7.3564
_cell_length_c 7.4661
_cell_angle_alpha 119.42
_cell_angle_beta 118.88
_cell_angle_gamma 90.08
loop_
_atom_site_label
_atom_site_type_symbol
_atom_site_fract_x
_atom_site_fract_y
_atom_site_fract_z
Ce1 Ce 0.0000 0.0000 0.0000
Ce2 Ce 0.0201 0.0163 0.5088
Ce3 Ce 0.0611 0.5187 0.5134
Ce4 Ce 0.4540 0.5185 0.5092
Ce5 Ce 0.4931 0.0143 0.5018
Ce6 Ce 0.5139 0.5013 0.0162
In1 In 0.0100 0.5064 0.0118
In2 In 0.5048 0.0025 0.0051
Fe1 Fe 0.2572 0.2072 0.5075
Ir1 Ir 0.7569 0.7534 0.5079



Record 2
# GGA-PBE Cs5Pb6, relaxed
# - calculated total energy (eV/cell) = -56.44
# - N(E_F) (states/eV/cell) = 9.76
# - crystal system = monoclinic
# - volume (Å³/atom) = 49.251
# - mass density (g/cm3) = 5.85
data_Cs5Pb6
_chemical_formula_sum 'Cs10 Pb12'
_symmetry_space_group_name_H-M 'C 1 2/m 1'
_symmetry_Int_Tables_number 12
_symmetry_space_group_name_Hall '-C 2y'
_cell_length_a 8.4778
_cell_length_b 15.6005
_cell_length_c 8.6301
_cell_angle_alpha 90.00
_cell_angle_beta 108.33
_cell_angle_gamma 90.00
loop_
_atom_site_label
_atom_site_type_symbol
_atom_site_fract_x
_atom_site_fract_y
_atom_site_fract_z
Cs1 Cs 0.0000 0.0000 0.0000
Cs2 Cs 0.0000 0.1540 0.5000
Cs3 Cs 0.0000 0.2659 0.0000
Pb1 Pb 0.1204 0.5000 0.1920
Pb2 Pb 0.1324 0.3996 0.6730



Record 3
# GGA-PBE TaPC2, relaxed
# - calculated total energy (eV/cell) = -135.95
# - N(E_F) (states/eV/cell) = 11.34
# - crystal system = tetragonal
# - volume (Å³/atom) = 11.415
# - mass density (g/cm3) = 8.58
data_TaPC2
_chemical_formula_sum 'Ta4 P4 C8'
_symmetry_space_group_name_H-M 'I -4 2 d'
_symmetry_Int_Tables_number 122
_symmetry_space_group_name_Hall 'I -4 2bw'
_cell_length_a 4.9132
_cell_length_b 4.9132
_cell_length_c 7.5658
_cell_angle_alpha 90.00
_cell_angle_beta 90.00
_cell_angle_gamma 90.00
loop_
_atom_site_label
_atom_site_type_symbol
_atom_site_fract_x
_atom_site_fract_y
_atom_site_fract_z
Ta1 Ta 0.0000 0.0000 0.0000
P1 P 0.0000 0.0000 0.5000
C1 C 0.1809 0.2500 0.6250



Record 4
# GGA-PBE K3Tl2Au3, relaxed
# - calculated total energy (eV/cell) = -79.55
# - N(E_F) (states/eV/cell) = 7.70
# - crystal system = orthorhombic
# - volume (Å³/atom) = 32.954
# - mass density (g/cm3) = 7.04
data_K3Tl2Au3
_chemical_formula_sum 'K12 Tl8 Au12'
_symmetry_space_group_name_H-M 'P n m a'
_symmetry_Int_Tables_number 62
_symmetry_space_group_name_Hall '-P 2ac 2n'
_cell_length_a 9.0193
_cell_length_b 16.6736
_cell_length_c 7.0122
_cell_angle_alpha 90.00
_cell_angle_beta 90.00
_cell_angle_gamma 90.00
loop_
_atom_site_label
_atom_site_type_symbol
_atom_site_fract_x
_atom_site_fract_y
_atom_site_fract_z
K1 K 0.0259 0.1045 0.1415
K2 K 0.1829 0.2500 0.5832
Tl1 Tl 0.1165 0.6001 0.3772
Au1 Au 0.1861 0.0406 0.5984
Au2 Au 0.1885 0.7500 0.5825



Record 5
# GGA-PBE AcMgSnAu2, relaxed
# - calculated total energy (eV/cell) = -39.47
# - N(E_F) (states/eV/cell) = 7.28
# - crystal system = tetragonal
# - volume (Å³/atom) = 24.883
# - mass density (g/cm3) = 10.20
data_AcMgSnAu2
_chemical_formula_sum 'Ac2 Mg2 Sn2 Au4'
_symmetry_space_group_name_H-M 'I -4 m 2'
_symmetry_Int_Tables_number 119
_symmetry_space_group_name_Hall 'I -4 -2'
_cell_length_a 4.4757
_cell_length_b 4.4757
_cell_length_c 12.4216
_cell_angle_alpha 90.00
_cell_angle_beta 90.00
_cell_angle_gamma 90.00
loop_
_atom_site_label
_atom_site_type_symbol
_atom_site_fract_x
_atom_site_fract_y
_atom_site_fract_z
Ac1 Ac 0.0000 0.0000 0.0000
Mg1 Mg 0.0000 0.5000 0.7500
Sn1 Sn 0.0000 0.5000 0.2500
Au1 Au 0.0000 0.0000 0.3876



Record 6
# GGA-PBE Sc2RuCl, relaxed
# - calculated total energy (eV/cell) = -52.90
# - N(E_F) (states/eV/cell) = 3.41
# - crystal system = monoclinic
# - volume (Å³/atom) = 18.245
# - mass density (g/cm3) = 5.15
data_Sc2RuCl
_chemical_formula_sum 'Sc4 Ru2 Cl2'
_symmetry_space_group_name_H-M 'C 1 m 1'
_symmetry_Int_Tables_number 8
_symmetry_space_group_name_Hall 'C -2y'
_cell_length_a 10.2415
_cell_length_b 3.2061
_cell_length_c 4.4452
_cell_angle_alpha 90.00
_cell_angle_beta 90.08
_cell_angle_gamma 90.00
loop_
_atom_site_label
_atom_site_type_symbol
_atom_site_fract_x
_atom_site_fract_y
_atom_site_fract_z
Sc1 Sc 0.0000 0.0000 0.0000
Sc2 Sc 0.2217 0.5000 0.5010
Ru1 Ru 0.4738 0.0000 0.5002
Cl1 Cl 0.2572 0.0000 0.0013



Record 7
# GGA-PBE GdDyBi2, relaxed
# - calculated total energy (eV/cell) = -89.94
# - N(E_F) (states/eV/cell) = 6.22
# - crystal system = trigonal
# - volume (Å³/atom) = 32.171
# - mass density (g/cm3) = 9.52
data_GdDyBi2
_chemical_formula_sum 'Gd3 Dy3 Bi6'
_symmetry_space_group_name_H-M 'R -3 m'
_symmetry_Int_Tables_number 166
_symmetry_space_group_name_Hall '-R 3 2"'
_cell_length_a 4.4981
_cell_length_b 4.4981
_cell_length_c 22.0323
_cell_angle_alpha 90.00
_cell_angle_beta 90.00
_cell_angle_gamma 120.00
loop_
_atom_site_label
_atom_site_type_symbol
_atom_site_fract_x
_atom_site_fract_y
_atom_site_fract_z
Gd1 Gd 0.0000 0.0000 0.0000
Dy1 Dy 0.0000 0.0000 0.5000
Bi1 Bi 0.0000 0.0000 0.2493



Record 8
# GGA-PBE LaTcBrO4, relaxed
# - calculated total energy (eV/cell) = -204.06
# - N(E_F) (states/eV/cell) = 13.02
# - crystal system = monoclinic
# - volume (Å³/atom) = 20.293
# - mass density (g/cm3) = 4.45
data_LaTcBrO4
_chemical_formula_sum 'La4 Tc4 Br4 O16'
_symmetry_space_group_name_H-M 'C 1 2/m 1'
_symmetry_Int_Tables_number 12
_symmetry_space_group_name_Hall '-C 2y'
_cell_length_a 10.9294
_cell_length_b 7.4821
_cell_length_c 7.1568
_cell_angle_alpha 90.00
_cell_angle_beta 103.87
_cell_angle_gamma 90.00
loop_
_atom_site_label
_atom_site_type_symbol
_atom_site_fract_x
_atom_site_fract_y
_atom_site_fract_z
La1 La 0.2273 0.0000 0.1148
Tc1 Tc 0.1325 0.5000 0.2742
Br1 Br 0.0158 0.0000 0.7537
O1 O 0.0324 0.5000 0.7845
O2 O 0.1918 0.3216 0.1434
O3 O 0.2092 0.5000 0.5190



Record 9
# GGA-PBE TbPa2ZnN5, relaxed
# - calculated total energy (eV/cell) = -309.26
# - crystal system = orthorhombic
# - volume (Å³/atom) = 14.403
# - mass density (g/cm3) = 9.69
data_TbPa2ZnN5
_chemical_formula_sum 'Tb4 Pa8 Zn4 N20'
_symmetry_space_group_name_H-M 'C m c 21'
_symmetry_Int_Tables_number 36
_symmetry_space_group_name_Hall 'C 2c -2'
_cell_length_a 3.5010
_cell_length_b 13.4864
_cell_length_c 10.9817
_cell_angle_alpha 90.00
_cell_angle_beta 90.00
_cell_angle_gamma 90.00
loop_
_atom_site_label
_atom_site_type_symbol
_atom_site_fract_x
_atom_site_fract_y
_atom_site_fract_z
Tb1 Tb 0.0000 0.1915 0.0000
Pa1 Pa 0.0000 0.1189 0.2775
Pa2 Pa 0.0000 0.1409 0.7004
Zn1 Zn 0.0000 0.4911 0.0127
N1 N 0.0000 0.0338 0.0961
N2 N 0.0000 0.2950 0.3415
N3 N 0.0000 0.3030 0.6679
N4 N 0.0000 0.3481 0.0779
N5 N 0.0000 0.4756 0.8265



Record 10
# GGA-PBE La2SmDy2Y4, relaxed
# - calculated total energy (eV/cell) = -99.35
# - N(E_F) (states/eV/cell) = 27.16
# - crystal system = monoclinic
# - volume (Å³/atom) = 33.255
# - mass density (g/cm3) = 6.15
data_La2SmDy2Y4
_chemical_formula_sum 'La4 Sm2 Dy4 Y8'
_symmetry_space_group_name_H-M 'C 1 2/m 1'
_symmetry_Int_Tables_number 12
_symmetry_space_group_name_Hall '-C 2y'
_cell_length_a 18.8900
_cell_length_b 3.6427
_cell_length_c 9.6578
_cell_angle_alpha 90.00
_cell_angle_beta 115.75
_cell_angle_gamma 90.00
loop_
_atom_site_label
_atom_site_type_symbol
_atom_site_fract_x
_atom_site_fract_y
_atom_site_fract_z
La1 La 0.1658 0.0000 0.4973
Sm1 Sm 0.0000 0.5000 0.5000
Dy1 Dy 0.1476 0.5000 0.1627
Y1 Y 0.0200 0.0000 0.8375
Y2 Y 0.1860 0.5000 0.8369



Record 11
# GGA-PBE NaBr2N, relaxed
# - calculated total energy (eV/cell) = -45.40
# - N(E_F) (states/eV/cell) = 4.25
# - crystal system = tetragonal
# - volume (Å³/atom) = 27.474
# - mass density (g/cm3) = 2.97
data_NaBr2N
_chemical_formula_sum 'Na4 Br8 N4'
_symmetry_space_group_name_H-M 'I -4 2 d'
_symmetry_Int_Tables_number 122
_symmetry_space_group_name_Hall 'I -4 2bw'
_cell_length_a 6.0420
_cell_length_b 6.0420
_cell_length_c 12.0414
_cell_angle_alpha 90.00
_cell_angle_beta 90.00
_cell_angle_gamma 90.00
loop_
_atom_site_label
_atom_site_type_symbol
_atom_site_fract_x
_atom_site_fract_y
_atom_site_fract_z
Na1 Na 0.0000 0.0000 0.0000
Br1 Br 0.0943 0.2500 0.6250
N1 N 0.0000 0.0000 0.5000



Record 12
# GGA-PBE MgRe2F, relaxed
# - calculated total energy (eV/cell) = -113.76
# - N(E_F) (states/eV/cell) = 9.37
# - crystal system = tetragonal
# - volume (Å³/atom) = 17.223
# - mass density (g/cm3) = 10.02
data_MgRe2F
_chemical_formula_sum 'Mg4 Re8 F4'
_symmetry_space_group_name_H-M 'I -4 2 d'
_symmetry_Int_Tables_number 122
_symmetry_space_group_name_Hall 'I -4 2bw'
_cell_length_a 3.4592
_cell_length_b 3.4592
_cell_length_c 23.0299
_cell_angle_alpha 90.00
_cell_angle_beta 90.00
_cell_angle_gamma 90.00
loop_
_atom_site_label
_atom_site_type_symbol
_atom_site_fract_x
_atom_site_fract_y
_atom_site_fract_z
Mg1 Mg 0.0000 0.0000 0.0000
Re1 Re 0.2416 0.7500 0.1250
F1 F 0.0000 0.0000 0.5000



> Among the records above, which one has the lowest mass density?

NaBr2N



> Which value of calculated total energy does entry 7 give?

-89.94 eV/cell



> The lowest mass density belongs to which entry?

NaBr2N



Please write out number 4 again, unchanged.
# GGA-PBE K3Tl2Au3, relaxed
# - calculated total energy (eV/cell) = -79.55
# - N(E_F) (states/eV/cell) = 7.70
# - crystal system = orthorhombic
# - volume (Å³/atom) = 32.954
# - mass density (g/cm3) = 7.04
data_K3Tl2Au3
_chemical_formula_sum 'K12 Tl8 Au12'
_symmetry_space_group_name_H-M 'P n m a'
_symmetry_Int_Tables_number 62
_symmetry_space_group_name_Hall '-P 2ac 2n'
_cell_length_a 9.0193
_cell_length_b 16.6736
_cell_length_c 7.0122
_cell_angle_alpha 90.00
_cell_angle_beta 90.00
_cell_angle_gamma 90.00
loop_
_atom_site_label
_atom_site_type_symbol
_atom_site_fract_x
_atom_site_fract_y
_atom_site_fract_z
K1 K 0.0259 0.1045 0.1415
K2 K 0.1829 0.2500 0.5832
Tl1 Tl 0.1165 0.6001 0.3772
Au1 Au 0.1861 0.0406 0.5984
Au2 Au 0.1885 0.7500 0.5825